Material: CuS
Method: DFT, GGA-PBE
State: optimized geometry

Cell: 5.343 3.585 6.137 Å, 90.00 90.00 90.00°
Sites, in units of the cell vectors:
Cu: 0.002 0.250 0.249
Cu: 0.498 0.750 0.749
Cu: 0.502 0.250 0.251
Cu: 0.998 0.750 0.751
S: 0.249 0.250 0.582
S: 0.251 0.750 0.082
S: 0.749 0.250 0.918
S: 0.751 0.750 0.418

The total energy is -3.95 eV per atom.